{
  "formula": "Ti3V2Mo3",
  "functional": "PBE",
  "state": "relaxed",
  "cell": [[3.165, 0.000, 0.000], [0.000, 4.563, 0.000], [0.000, 0.000, 17.123]],
  "species": ["Ti", "Ti", "Ti", "Ti", "Ti", "Ti", "V", "V", "V", "V", "Mo", "Mo", "Mo", "Mo", "Mo", "Mo"],
  "frac_coords": [[0.000, 0.000, 0.000], [0.000, 0.500, 0.125], [0.000, 0.500, 0.875], [0.500, 0.000, 0.375], [0.500, 0.000, 0.625], [0.500, 0.500, 0.500], [0.000, 0.000, 0.244], [0.000, 0.000, 0.756], [0.500, 0.500, 0.256], [0.500, 0.500, 0.744], [0.000, 0.000, 0.500], [0.000, 0.500, 0.366], [0.000, 0.500, 0.634], [0.500, 0.000, 0.134], [0.500, 0.000, 0.866], [0.500, 0.500, 0.000]],
  "volume_a3_per_cell": 247.3,
  "e_form_ev_per_atom": -0.064
}